KMgCd4: optimized geometry, PBE.

## Properties
Final energy: -1.018 eV per atom
N(E_F): 2.991 states/eV/f.u.

Unit cell a=9.8639 b=9.8639 c=9.8639 alpha=110.02 beta=109.20 gamma=109.20
Fractional positions:
1 K 0.5000 0.2500 0.7500
2 K 0.5000 0.7500 0.2500
3 K 0.0000 0.8528 0.8528
4 K 0.0000 0.1472 0.1472
5 Mg 0.1941 0.5000 0.6941
6 Mg 0.1941 0.6941 0.5000
7 Mg 0.8059 0.3059 0.5000
8 Mg 0.8059 0.5000 0.3059
9 Cd 0.6503 0.1368 0.1368
10 Cd 0.3497 0.4865 0.4865
11 Cd 0.3497 0.8632 0.8632
12 Cd 0.0000 0.4865 0.1368
13 Cd 0.0000 0.1368 0.4865
14 Cd 0.0000 0.8632 0.5135
15 Cd 0.0000 0.5135 0.8632
16 Cd 0.6503 0.5135 0.5135
17 Cd 0.4280 0.1231 0.3048
18 Cd 0.1817 0.3048 0.8769
19 Cd 0.8183 0.6952 0.1231
20 Cd 0.8183 0.1231 0.6952
21 Cd 0.1817 0.8769 0.3048
22 Cd 0.5720 0.8769 0.6952
23 Cd 0.5720 0.6952 0.8769
24 Cd 0.4280 0.3048 0.1231